Model 1:
{"formula": "TePPb", "functional": "meta-GGA SCAN", "state": "single point on PBEsol structure", "m_tot_mub_per_cell": 0.00, "spacegroup": "F-43m", "volume_a3_per_atom": 29.36, "lattice": [[0.000, 3.531, 3.531], [3.531, 0.000, 3.531], [3.531, 3.531, 0.000]], "species": ["Te", "P", "Pb"], "frac_coords": [[0.000, 0.000, 0.000], [0.500, 0.500, 0.500], [0.250, 0.250, 0.250]]}

=====

Model 2:
{"formula": "TePPb", "functional": "meta-GGA SCAN", "state": "single point on PBEsol structure", "m_tot_mub_per_cell": 0.00, "spacegroup": "Pbca", "volume_a3_per_atom": 30.14, "lattice": [[7.125, 0.000, 0.000], [0.000, 7.191, 0.000], [0.000, 0.000, 14.117]], "species": ["Te", "Te", "Te", "Te", "Te", "Te", "Te", "Te", "P", "P", "P", "P", "P", "P", "P", "P", "Pb", "Pb", "Pb", "Pb", "Pb", "Pb", "Pb", "Pb"], "frac_coords": [[0.103, 0.099, 0.165], [0.103, 0.401, 0.665], [0.397, 0.599, 0.165], [0.397, 0.901, 0.665], [0.603, 0.099, 0.335], [0.603, 0.401, 0.835], [0.897, 0.599, 0.335], [0.897, 0.901, 0.835], [0.098, 0.694, 0.926], [0.098, 0.806, 0.426], [0.402, 0.194, 0.926], [0.402, 0.306, 0.426], [0.598, 0.694, 0.574], [0.598, 0.806, 0.074], [0.902, 0.194, 0.574], [0.902, 0.306, 0.074], [0.038, 0.186, 0.387], [0.038, 0.314, 0.887], [0.462, 0.686, 0.387], [0.462, 0.814, 0.887], [0.538, 0.186, 0.113], [0.538, 0.314, 0.613], [0.962, 0.686, 0.113], [0.962, 0.814, 0.613]]}

=====

The most stable arrangement is model 2, and the next structure is 619 meV/atom less stable.

=====

Model 1:
{"formula": "TlP2Pb", "functional": "meta-GGA SCAN", "state": "single point on PBEsol structure", "m_tot_mub_per_cell": 0.00, "spacegroup": "P4mm", "volume_a3_per_atom": 23.50, "lattice": [[3.188, 0.000, 0.000], [0.000, 3.188, 0.000], [0.000, 0.000, 9.249]], "species": ["Tl", "P", "P", "Pb"], "frac_coords": [[0.000, 0.000, 0.000], [0.000, 0.000, 0.315], [0.500, 0.500, 0.389], [0.500, 0.500, 0.692]]}

=====

Model 2:
{"formula": "TlP2Pb", "functional": "meta-GGA SCAN", "state": "single point on PBEsol structure", "m_tot_mub_per_cell": 0.00, "spacegroup": "P4/mmm", "volume_a3_per_atom": 21.58, "lattice": [[5.009, 0.000, 0.000], [0.000, 5.009, 0.000], [0.000, 0.000, 3.441]], "species": ["Tl", "P", "P", "Pb"], "frac_coords": [[0.000, 0.000, 0.000], [0.000, 0.500, 0.500], [0.500, 0.000, 0.500], [0.500, 0.500, 0.000]]}

=====

The most stable arrangement is model 1, and the next structure is 472 meV/atom less stable.

=====

Model 1:
{"formula": "PPbW2", "functional": "meta-GGA SCAN", "state": "single point on PBEsol structure", "m_tot_mub_per_cell": 0.00, "spacegroup": "P4/mmm", "volume_a3_per_atom": 16.75, "lattice": [[3.105, 0.000, 0.000], [0.000, 3.105, 0.000], [0.000, 0.000, 6.949]], "species": ["P", "Pb", "W", "W"], "frac_coords": [[0.000, 0.000, 0.000], [0.000, 0.000, 0.500], [0.500, 0.500, 0.186], [0.500, 0.500, 0.814]]}

=====

Model 2:
{"formula": "PPbW2", "functional": "meta-GGA SCAN", "state": "single point on PBEsol structure", "m_tot_mub_per_cell": 0.00, "spacegroup": "P4mm", "volume_a3_per_atom": 17.13, "lattice": [[3.223, 0.000, 0.000], [0.000, 3.223, 0.000], [0.000, 0.000, 6.597]], "species": ["P", "Pb", "W", "W"], "frac_coords": [[0.000, 0.000, 0.000], [0.500, 0.500, 0.326], [0.000, 0.000, 0.609], [0.500, 0.500, 0.863]]}

=====

The most stable arrangement is model 2, and the next structure is 202 meV/atom less stable.

=====

Model 1:
{"formula": "Zr2PPb", "functional": "meta-GGA SCAN", "state": "single point on PBEsol structure", "m_tot_mub_per_cell": 0.00, "spacegroup": "Amm2", "volume_a3_per_atom": 22.03, "lattice": [[4.934, 0.000, 0.000], [0.000, 1.723, 5.183], [0.000, -1.723, 5.183]], "species": ["Zr", "Zr", "P", "Pb"], "frac_coords": [[0.000, 0.000, 0.000], [0.500, 0.325, 0.325], [0.000, 0.305, 0.305], [0.500, 0.597, 0.597]]}

=====

Model 2:
{"formula": "Zr2PPb", "functional": "meta-GGA SCAN", "state": "single point on PBEsol structure", "m_tot_mub_per_cell": 0.00, "spacegroup": "R-3m", "volume_a3_per_atom": 21.33, "lattice": [[1.816, 1.049, 7.465], [-1.816, 1.049, 7.465], [0.000, -2.097, 7.465]], "species": ["Zr", "Zr", "P", "Pb"], "frac_coords": [[0.229, 0.229, 0.229], [0.771, 0.771, 0.771], [0.500, 0.500, 0.500], [0.000, 0.000, 0.000]]}

=====

The most stable arrangement is model 2, and the next structure is 340 meV/atom less stable.

=====

Model 1:
{"formula": "P3Pt", "functional": "meta-GGA SCAN", "state": "single point on PBEsol structure", "m_tot_mub_per_cell": 0.00, "spacegroup": "Cmmm", "volume_a3_per_atom": 14.30, "lattice": [[1.502, -2.275, 0.000], [1.502, 2.275, 0.000], [0.000, 0.000, 8.373]], "species": ["P", "P", "P", "Pt"], "frac_coords": [[0.000, 0.000, 0.000], [0.500, 0.500, 0.254], [0.500, 0.500, 0.746], [0.000, 0.000, 0.500]]}

=====

Model 2:
{"formula": "P3Pt", "functional": "meta-GGA SCAN", "state": "single point on PBEsol structure", "m_tot_mub_per_cell": 0.00, "spacegroup": "P4/mmm", "volume_a3_per_atom": 14.11, "lattice": [[2.960, 0.000, 0.000], [0.000, 2.960, 0.000], [0.000, 0.000, 6.441]], "species": ["P", "P", "P", "Pt"], "frac_coords": [[0.000, 0.000, 0.000], [0.500, 0.500, 0.248], [0.500, 0.500, 0.752], [0.000, 0.000, 0.500]]}

=====

The most stable arrangement is model 2, and the next structure is 32 meV/atom less stable.

=====

Model 1:
{"formula": "Re2PPt", "functional": "meta-GGA SCAN", "state": "single point on PBEsol structure", "m_tot_mub_per_cell": 0.00, "spacegroup": "Cmm2", "volume_a3_per_atom": 14.59, "lattice": [[1.418, -2.339, 0.000], [1.418, 2.339, 0.000], [0.000, 0.000, 8.796]], "species": ["Re", "Re", "P", "Pt"], "frac_coords": [[0.000, 0.000, 0.000], [0.500, 0.500, 0.251], [0.500, 0.500, 0.769], [0.000, 0.000, 0.522]]}

=====

Model 2:
{"formula": "Re2PPt", "functional": "meta-GGA SCAN", "state": "single point on PBEsol structure", "m_tot_mub_per_cell": 0.00, "spacegroup": "F-43m", "volume_a3_per_atom": 14.54, "lattice": [[0.000, 3.075, 3.075], [3.075, 0.000, 3.075], [3.075, 3.075, 0.000]], "species": ["Re", "Re", "P", "Pt"], "frac_coords": [[0.000, 0.000, 0.000], [0.250, 0.250, 0.250], [0.750, 0.750, 0.750], [0.500, 0.500, 0.500]]}

=====

The most stable arrangement is model 1, and the next structure is 214 meV/atom less stable.